# PBE MnAl2Cr, relaxed
# Raw total energy: -48.9 eV/cell
# Crystal system: tetragonal
# Calculated formation energy: 0.4554 eV per atom
data_MnAl2Cr
_symmetry_space_group_name_H-M 'P 1'
_symmetry_Int_Tables_number 1
_cell_length_a 5.395
_cell_length_b 5.395
_cell_length_c 5.395
_cell_angle_alpha 103.59
_cell_angle_beta 103.59
_cell_angle_gamma 122.01
loop_
_symmetry_equiv_pos_as_xyz
'x,y,z'
loop_
_atom_site_label
_atom_site_type_symbol
_atom_site_fract_x
_atom_site_fract_y
_atom_site_fract_z
Mn1 Mn 0.000 0.000 0.000
Mn2 Mn 0.750 0.250 0.500
Al1 Al 0.120 0.625 0.995
Al2 Al 0.375 0.370 0.495
Al3 Al 0.630 0.125 0.005
Al4 Al 0.875 0.880 0.505
Cr1 Cr 0.250 0.750 0.500
Cr2 Cr 0.500 0.500 0.000

---

# PBE TbPm12Sc2, relaxed
# Raw total energy: -72.8 eV/cell
# Crystal system: orthorhombic
# Calculated formation energy: 0.1003 eV per atom
data_TbPm12Sc2
_symmetry_space_group_name_H-M 'P 1'
_symmetry_Int_Tables_number 1
_cell_length_a 23.588
_cell_length_b 23.588
_cell_length_c 5.797
_cell_angle_alpha 90.00
_cell_angle_beta 90.00
_cell_angle_gamma 171.14
loop_
_symmetry_equiv_pos_as_xyz
'x,y,z'
loop_
_atom_site_label
_atom_site_type_symbol
_atom_site_fract_x
_atom_site_fract_y
_atom_site_fract_z
Tb1 Tb 0.000 0.000 0.000
Pm1 Pm 0.097 0.903 0.500
Pm2 Pm 0.221 0.779 0.500
Pm3 Pm 0.289 0.711 0.000
Pm4 Pm 0.341 0.659 0.500
Pm5 Pm 0.424 0.576 0.000
Pm6 Pm 0.467 0.533 0.500
Pm7 Pm 0.533 0.467 0.500
Pm8 Pm 0.576 0.424 0.000
Pm9 Pm 0.659 0.341 0.500
Pm10 Pm 0.711 0.289 0.000
Pm11 Pm 0.779 0.221 0.500
Pm12 Pm 0.903 0.097 0.500
Sc1 Sc 0.143 0.857 0.000
Sc2 Sc 0.857 0.143 0.000

---

# PBE RbTlSnBi2, relaxed
# Raw total energy: -15.9 eV/cell
# Crystal system: tetragonal
# Calculated formation energy: -0.1658 eV per atom
data_RbTlSnBi2
_symmetry_space_group_name_H-M 'P 1'
_symmetry_Int_Tables_number 1
_cell_length_a 7.719
_cell_length_b 7.719
_cell_length_c 7.719
_cell_angle_alpha 138.96
_cell_angle_beta 138.96
_cell_angle_gamma 59.43
loop_
_symmetry_equiv_pos_as_xyz
'x,y,z'
loop_
_atom_site_label
_atom_site_type_symbol
_atom_site_fract_x
_atom_site_fract_y
_atom_site_fract_z
Rb1 Rb 0.000 0.000 0.000
Tl1 Tl 0.750 0.250 0.500
Sn1 Sn 0.250 0.750 0.500
Bi1 Bi 0.381 0.381 0.000
Bi2 Bi 0.619 0.619 0.000